Below is crystalline TeOsIO2 at its relaxed geometry, with properties calculated at the PBE level.

Summary:
Its formation energy from raw total energies is 0.68 eV/atom. The excess energy over the best structure of this formula in the dataset comes out at 0.572 eV per atom. The calculation puts the volume at 21.81 Å³ per atom. Its crystal system is tetragonal.

a b c (Å): 3.9839 3.9839 6.8707
angles (deg): 90.00 90.00 90.00
Last column: nearest neighbours and their distance in Å.
Atoms (fractional coordinates):
Te  0.0000  0.0000  0.0000  4 O 1.99
O  0.5000  0.0000  0.0000  2 Te 1.99
O  0.0000  0.5000  0.0000  2 Te 1.99
I  0.0000  0.0000  0.5000  4 Os 2.82
Os  0.5000  0.5000  0.5000  4 I 2.82